No. 1
DFT (PBE) results for a relaxed HfTc2SbMo crystal.

Properties
E_tot   -7.127 eV per atom
E_form (uncorrected)   2.001 eV/atom
Total magnetic moment   0.012 μB per formula unit
Crystal system   tetragonal

a b c (Å): 4.652 4.652 5.198
angles (deg): 90.00 90.00 90.00
Space group P4/mmm (No. 123)
One atom of each set of equivalent atoms:
1 Hf 0.000 0.000 0.000 x1
2 Tc 0.000 0.500 0.000 x2
3 Sb 0.000 0.000 0.500 x1
4 Mo 0.500 0.500 0.500 x1

---

No. 2
DFT (PBE) results for a relaxed LiPuSi2Pt2 crystal.

Properties
E_tot   -7.329 eV per atom
E_form (uncorrected)   -0.800 eV/atom
Total magnetic moment   5.404 μB per formula unit
Crystal system   trigonal

a b c (Å): 4.2262 4.2262 6.6359
angles (deg): 90.00 90.00 120.00
Space group P-3m1 (No. 164)
One atom of each set of equivalent atoms:
1 Li 0.0000 0.0000 0.0000 x1
2 Pu 0.0000 0.0000 0.5000 x1
3 Si 0.3333 0.6667 0.8068 x2
4 Pt 0.3333 0.6667 0.1975 x2

---

No. 3
DFT (PBE) results for a relaxed Pu2BAsPt6 crystal.

Properties
E_tot   -8.231 eV per atom
Energy of formation   -607.3 meV per atom
Total magnetic moment   10.314 μB per formula unit
Crystal system   orthorhombic

a b c (Å): 5.764 8.388 7.608
angles (deg): 90.00 90.00 90.00
Space group Pmmn (No. 59, origin choice 2)
One atom of each set of equivalent atoms:
1 Pu 0.250 0.035 0.224 x4
2 B 0.250 0.250 0.703 x2
3 As 0.250 0.750 0.828 x2
4 Pt 0.007 0.750 0.493 x4
5 Pt 0.012 0.250 0.918 x4
6 Pt 0.250 0.503 0.654 x4

---

No. 4
DFT (PBE) results for a relaxed Pr2PtRh crystal.

Properties
E_tot   -6.632 eV per atom
Energy of formation   -893.8 meV per atom
Total magnetic moment   0.000 μB per formula unit
Crystal system   monoclinic

a b c (Å): 5.846 4.471 7.880
angles (deg): 90.00 109.90 90.00
Space group P2_1/m (No. 11)
One atom of each set of equivalent atoms:
1 Pr 0.221 0.250 0.432 x2
2 Pr 0.224 0.250 0.928 x2
3 Pt 0.330 0.750 0.207 x2
4 Rh 0.323 0.750 0.707 x2

---

No. 5
DFT (PBE) results for a relaxed PmNpGePt crystal.

Properties
E_tot   -7.552 eV per atom
Energy of formation   -464.7 meV per atom
Total magnetic moment   4.197 μB per formula unit
Crystal system   cubic

a b c (Å): 7.183 7.183 7.183
angles (deg): 90.00 90.00 90.00
Space group F-43m (No. 216)
One atom of each set of equivalent atoms:
1 Pm 0.000 0.000 0.000 x4
2 Np 0.000 0.000 0.500 x4
3 Ge 0.250 0.250 0.250 x4
4 Pt 0.250 0.250 0.750 x4

---

No. 6
DFT (PBE) results for a relaxed Nd4Dy5Er2 crystal.

Properties
E_tot   -4.376 eV per atom
Energy of formation   279.6 meV per atom
Total magnetic moment   0.001 μB per formula unit
Crystal system   orthorhombic
Energy relative to the lowest polymorph listed for this composition   171.7 meV per atom

a b c (Å): 3.502 9.269 22.991
angles (deg): 90.00 90.00 90.00
Space group Immm (No. 71)
One atom of each set of equivalent atoms:
1 Nd 0.000 0.000 0.096 x4
2 Nd 0.000 0.295 0.500 x4
3 Dy 0.000 0.201 0.351 x8
4 Dy 0.000 0.500 0.000 x2
5 Er 0.000 0.000 0.230 x4

---

No. 7
DFT (PBE) results for a relaxed Sc2NiPb crystal.

Properties
E_tot   -5.815 eV per atom
Energy of formation   -276.7 meV per atom
Total magnetic moment   0.000 μB per formula unit
Crystal system   trigonal

a b c (Å): 3.5303 3.5303 24.5180
angles (deg): 90.00 90.00 120.00
Space group R-3m (No. 166, hexagonal axes)
One atom of each set of equivalent atoms:
1 Sc 0.0000 0.0000 0.2300 x6
2 Ni 0.0000 0.0000 0.5000 x3
3 Pb 0.0000 0.0000 0.0000 x3

---

No. 8
DFT (PBE) results for a relaxed Re2NiAu crystal.

Properties
E_tot   -8.137 eV per atom
Energy of formation   352.1 meV per atom
Total magnetic moment   0.000 μB per formula unit
Crystal system   orthorhombic
Energy relative to the lowest polymorph listed for this composition   152.2 meV per atom

a b c (Å): 2.733 3.982 5.444
angles (deg): 90.00 90.00 90.00
Space group Pmmm (No. 47)
One atom of each set of equivalent atoms:
1 Re 0.000 0.000 0.218 x2
2 Ni 0.500 0.500 0.000 x1
3 Au 0.500 0.500 0.500 x1

---

No. 9
DFT (PBE) results for a relaxed AcPmSi2 crystal.

Properties
E_tot   -5.252 eV per atom
E_form (uncorrected)   -0.326 eV/atom
Total magnetic moment   0.000 μB per formula unit
Crystal system   tetragonal
Energy relative to the lowest polymorph listed for this composition   320.1 meV per atom

a b c (Å): 5.016 5.016 4.133
angles (deg): 90.00 90.00 90.00
Space group P4/mmm (No. 123)
One atom of each set of equivalent atoms:
1 Ac 0.000 0.000 0.000 x1
2 Pm 0.500 0.500 0.000 x1
3 Si 0.000 0.500 0.500 x2

---

No. 10
DFT (PBE) results for a relaxed CeSmInRu crystal.

Properties
E_tot   -6.041 eV per atom
Energy of formation   -374.0 meV per atom
Total magnetic moment   0.383 μB per formula unit
Crystal system   tetragonal
Energy relative to the lowest polymorph listed for this composition   0.0 meV per atom

a b c (Å): 3.396 3.396 8.493
angles (deg): 90.00 90.00 90.00
Space group P4mm (No. 99)
One atom of each set of equivalent atoms:
1 Ce 0.000 0.000 0.000 x1
2 Sm 0.000 0.000 0.412 x1
3 In 0.500 0.500 0.705 x1
4 Ru 0.500 0.500 0.197 x1

---

No. 11
DFT (PBE) results for a relaxed TaSeS2N crystal.

Properties
E_tot   -6.157 eV per atom
E_form (uncorrected)   0.227 eV/atom
Total magnetic moment   0.000 μB per formula unit
Crystal system   tetragonal
Energy relative to the lowest polymorph listed for this composition   0.0 meV per atom

a b c (Å): 4.920 4.920 3.897
angles (deg): 90.00 90.00 90.00
Space group P4/mmm (No. 123)
One atom of each set of equivalent atoms:
1 Ta 0.000 0.000 0.000 x1
2 Se 0.500 0.500 0.500 x1
3 S 0.000 0.500 0.000 x2
4 N 0.000 0.000 0.500 x1

---

No. 12
DFT (PBE) results for a relaxed SrTaPb2 crystal.

Properties
E_tot   -4.840 eV per atom
Energy of formation   397.7 meV per atom
Total magnetic moment   0.000 μB per formula unit
Crystal system   monoclinic

a b c (Å): 3.336 5.802 5.803
angles (deg): 90.00 90.11 90.00
Space group Pm (No. 6)
One atom of each set of equivalent atoms:
1 Sr 0.000 0.000 0.000 x1
2 Ta 0.442 0.500 0.505 x1
3 Pb 0.518 0.000 0.500 x1
4 Pb 0.518 0.500 0.004 x1

---

No. 13
DFT (PBE) results for a relaxed NpS2I2Cl2 crystal.

Properties
E_tot   -4.679 eV per atom
E_form (uncorrected)   -0.680 eV/atom
Total magnetic moment   5.000 μB per formula unit
Crystal system   monoclinic

a b c (Å): 16.221 4.490 11.454
angles (deg): 90.00 133.45 90.00
Space group C2/m (No. 12)
One atom of each set of equivalent atoms:
1 Np 0.000 0.000 0.000 x2
2 S 0.057 0.000 0.497 x4
3 I 0.091 0.500 0.928 x4
4 Cl 0.185 0.000 0.288 x4

---

No. 14
DFT (PBE) results for a relaxed NaCe4Sm3Te8 crystal.

Properties
E_tot   -5.377 eV per atom
E_form (uncorrected)   -1.356 eV/atom
Total magnetic moment   5.296 μB per formula unit
Crystal system   trigonal

a b c (Å): 8.9341 8.9341 22.0878
angles (deg): 90.00 90.00 120.00
Space group R-3m (No. 166, hexagonal axes)
One atom of each set of equivalent atoms:
1 Na 0.0000 0.0000 0.0000 x3
2 Ce 0.0000 0.0000 0.5000 x3
3 Ce 0.0000 0.5000 0.5000 x9
4 Sm 0.0000 0.5000 0.0000 x9
5 Te 0.0000 0.0000 0.2513 x6
6 Te 0.0016 0.5008 0.7481 x18

---

No. 15
DFT (PBE) results for a relaxed MgGeRuRh crystal.

Properties
E_tot   -6.151 eV per atom
Energy of formation   -440.7 meV per atom
Total magnetic moment   0.000 μB per formula unit
Crystal system   cubic

a b c (Å): 6.100 6.100 6.100
angles (deg): 90.00 90.00 90.00
Space group F-43m (No. 216)
One atom of each set of equivalent atoms:
1 Mg 0.000 0.000 0.000 x4
2 Ge 0.000 0.000 0.500 x4
3 Ru 0.250 0.250 0.750 x4
4 Rh 0.250 0.250 0.250 x4

---

No. 16
DFT (PBE) results for a relaxed CoCuNiH crystal.

Properties
E_tot   -5.042 eV per atom
Total magnetic moment   1.709 μB per formula unit
Crystal system   monoclinic

a b c (Å): 4.435 2.558 6.473
angles (deg): 90.00 103.06 90.00
Space group Cm (No. 8)
One atom of each set of equivalent atoms:
1 Co 0.000 0.000 0.000 x2
2 Cu 0.057 0.500 0.669 x2
3 Ni 0.279 0.500 0.340 x2
4 H 0.392 0.000 0.178 x2

---

No. 17
DFT (PBE) results for a relaxed MnCdBiPd2 crystal.

Properties
E_tot   -4.177 eV per atom
Energy of formation   693.2 meV per atom
Total magnetic moment   4.245 μB per formula unit
Crystal system   tetragonal

a b c (Å): 4.973 4.973 4.925
angles (deg): 90.00 90.00 90.00
Space group P4/mmm (No. 123)
One atom of each set of equivalent atoms:
1 Mn 0.000 0.000 0.000 x1
2 Cd 0.000 0.000 0.500 x1
3 Bi 0.500 0.500 0.000 x1
4 Pd 0.000 0.500 0.500 x2

---

No. 18
DFT (PBE) results for a relaxed CeYTmZr crystal.

Properties
E_tot   -6.141 eV per atom
Energy of formation   213.9 meV per atom
Total magnetic moment   1.927 μB per formula unit
Crystal system   cubic

a b c (Å): 7.719 7.719 7.719
angles (deg): 90.00 90.00 90.00
Space group F-43m (No. 216)
One atom of each set of equivalent atoms:
1 Ce 0.000 0.000 0.000 x4
2 Y 0.000 0.000 0.500 x4
3 Tm 0.250 0.250 0.750 x4
4 Zr 0.250 0.250 0.250 x4

---

No. 19
DFT (PBE) results for a relaxed Si2RuPb crystal.

Properties
E_tot   -5.924 eV per atom
E_form (uncorrected)   0.033 eV/atom
Total magnetic moment   0.000 μB per formula unit
Crystal system   tetragonal

a b c (Å): 3.049 3.049 7.625
angles (deg): 90.00 90.00 90.00
Space group P4/mmm (No. 123)
One atom of each set of equivalent atoms:
1 Si 0.000 0.000 0.184 x2
2 Ru 0.500 0.500 0.000 x1
3 Pb 0.500 0.500 0.500 x1

---

No. 20
DFT (PBE) results for a relaxed Ti6In2Ge crystal.

Properties
E_tot   -6.617 eV per atom
Energy of formation   -231.9 meV per atom
Total magnetic moment   0.000 μB per formula unit
Crystal system   hexagonal

a b c (Å): 7.4880 7.4880 3.3913
angles (deg): 90.00 90.00 120.00
Space group P-62m (No. 189)
One atom of each set of equivalent atoms:
1 Ti 0.0000 0.2565 0.0000 x3
2 Ti 0.0000 0.6272 0.5000 x3
3 In 0.3333 0.6667 0.0000 x2
4 Ge 0.0000 0.0000 0.5000 x1